A relaxed Ag3BrO crystal, computed with PBE-GGA.

Unit cell a=12.368 b=4.278 c=8.684 alpha=90.00 beta=98.82 gamma=90.00
Space group C2/m (No. 12)
Inequivalent atoms, fractional coordinates:
Ag  0.102  0.000  0.176 x4
Ag  0.115  0.500  0.923 x4
Ag  0.231  0.000  0.769 x4
Br  0.115  0.500  0.390 x4
O  0.097  0.000  0.899 x4

The magnetization comes out at 0.00 μB/f.u. For the uncorrected formation energy, the calculation gives -114.0 meV/atom. As for the energy above the most stable polymorph in this dataset: 0.00 kcal/mol of atoms.